TcPd3Au | PBE | optimized geometry

ΔE to the lowest computed polymorph: 1.54 eV per formula unit
space-group type: Pm-3m (221)
N(E_F): 0.97 states/eV per atom
energy of formation: 1.508 eV/atom

abc: 4.924 4.924 4.924
angles: 90.00 90.00 90.00
Element x y z (fractional)
Tc 0.000 0.000 0.000
Pd 0.000 0.500 0.500
Pd 0.500 0.000 0.500
Pd 0.500 0.500 0.000
Au 0.500 0.500 0.500